## 1
The following is a DFT calculation (PBE) of an optimized crystal structure of MgRhPb.

abc: 4.523 4.523 4.523
angles: 60.00 60.00 60.00
Fractional positions:
Mg: 0.000 0.000 0.000
Rh: 0.250 0.250 0.250
Pb: 0.500 0.500 0.500

Calculated values
Symmetry ... F-43m
DOS at the Fermi energy ... 2.1 states/eV per cell
Total magnetization ... 0.000 μB per cell



## 2
The following is a DFT calculation (PBE) of an optimized crystal structure of MgRhPb.

abc: 5.282 5.282 3.495
angles: 70.68 70.69 38.64
Fractional positions:
Rh: 0.658 0.658 0.342
Pb: 0.324 0.324 0.676
Mg: 0.017 0.017 0.983

Calculated values
Symmetry ... I4mm
DOS at the Fermi energy ... 1.4 states/eV per cell
Total magnetization ... 0.000 μB per cell



## 3
The following is a DFT calculation (PBE) of an optimized crystal structure of MgRhPb.

abc: 4.493 6.386 9.032
angles: 90.00 90.00 90.00
Fractional positions:
Rh: 0.750 0.998 0.387
Rh: 0.750 0.502 0.887
Rh: 0.250 0.002 0.613
Mg: 0.750 0.760 0.642
Mg: 0.750 0.740 0.142
Mg: 0.250 0.260 0.858
Mg: 0.250 0.240 0.358
Rh: 0.250 0.498 0.113
Pb: 0.750 0.268 0.628
Pb: 0.750 0.232 0.128
Pb: 0.250 0.768 0.872
Pb: 0.250 0.732 0.372

Calculated values
Symmetry ... Pnma
DOS at the Fermi energy ... 4.3 states/eV per cell
Total magnetization ... 0.000 μB per cell



Verdict on stability: 3 comes out on top.



## 1
The following is a DFT calculation (PBE) of an optimized crystal structure of MgRhPb.

abc: 4.667 4.667 3.204
angles: 90.00 90.00 120.00
Fractional positions:
Pb: 0.667 0.333 0.499
Mg: 0.000 0.000 0.000
Rh: 0.333 0.667 0.501

Calculated values
Symmetry ... P-6m2
DOS at the Fermi energy ... 1.3 states/eV per cell
Total magnetization ... 0.000 μB per cell



## 2
The following is a DFT calculation (PBE) of an optimized crystal structure of MgRhPb.

abc: 4.563 4.563 4.563
angles: 60.00 60.00 60.00
Fractional positions:
Mg: 0.500 0.500 0.500
Pb: 0.250 0.250 0.250
Rh: 0.000 0.000 0.000

Calculated values
Symmetry ... F-43m
DOS at the Fermi energy ... 2.1 states/eV per cell
Total magnetization ... 0.000 μB per cell



Verdict on stability: 1 comes out on top.